VASP calculation (GGA+U) on crystalline TlSiNiF6 at its relaxed geometry.

Properties
VASP energy (eV per atom): -4.81
Size of the total moment (μB/cell): 1.00

Lattice parameters (Å, degrees): 5.6983 5.4970 5.2449 90.41 86.63 61.83
Each line ends with the local moment (μB).
Sites, in units of the cell vectors:
1 F 0.5118 0.2451 0.2303  0.00
2 F 0.1061 0.2289 0.3937  0.01
3 F 0.5168 0.0151 0.6248  0.01
4 F 0.1360 0.4305 0.7923  0.00
5 F 0.1121 0.6641 0.3985  0.01
6 F 0.5222 0.4635 0.6304  0.01
7 Ni 0.7601 0.6215 0.4775  0.99
8 Tl 0.0095 0.9938 0.9448  0.00
9 Si 0.3250 0.3375 0.5076  0.00